[1]
## Rb2HfCrBr6 (PBE-GGA)

Data for crystalline Rb2HfCrBr6 at its relaxed geometry.

a b c (Å): 10.962 10.962 10.962
angles (deg): 90.00 90.00 90.00
Space group Fm-3m (No. 225)
Unique sites:
1 Rb 0.250 0.250 0.250 x8
2 Hf 0.000 0.000 0.000 x4
3 Cr 0.000 0.000 0.500 x4
4 Br 0.000 0.000 0.246 x24

Values from the calculation:
Uncorrected formation energy   -1.13 eV per atom
M_tot   24.000 μB/cell
E   -4.280 eV/atom



[2]
## HfCr2RuBr (PBE-GGA)

Data for crystalline HfCr2RuBr at its relaxed geometry.

a b c (Å): 4.347 4.347 4.627
angles (deg): 90.00 90.00 90.00
Space group P4/mmm (No. 123)
Unique sites:
1 Hf 0.000 0.000 0.000 x1
2 Cr 0.000 0.500 0.500 x2
3 Ru 0.500 0.500 0.000 x1
4 Br 0.500 0.500 0.500 x1

Values from the calculation:
Uncorrected formation energy   1.04 eV per atom
M_tot   2.535 μB/cell
E   -6.985 eV/atom



[3]
## HfCrSe2Br (PBE-GGA)

Data for crystalline HfCrSe2Br at its relaxed geometry.

a b c (Å): 4.909 4.909 4.789
angles (deg): 90.00 90.00 90.00
Space group P4/mmm (No. 123)
Unique sites:
1 Hf 0.000 0.000 0.000 x1
2 Cr 0.500 0.500 0.500 x1
3 Se 0.000 0.500 0.500 x2
4 Br 0.500 0.500 0.000 x1

Values from the calculation:
Uncorrected formation energy   0.15 eV per atom
M_tot   4.616 μB/cell
E   -5.494 eV/atom
Relative energy among the computed polymorphs   401 meV per atom



[4]
## HfCrSe2Br (PBE-GGA)

Data for crystalline HfCrSe2Br at its relaxed geometry.

a b c (Å): 5.186 5.186 5.239
angles (deg): 90.00 90.00 90.00
Space group P4/mmm (No. 123)
Unique sites:
1 Hf 0.000 0.000 0.000 x1
2 Cr 0.500 0.500 0.500 x1
3 Se 0.000 0.500 0.000 x2
4 Br 0.000 0.000 0.500 x1

Values from the calculation:
Uncorrected formation energy   -0.25 eV per atom
M_tot   4.916 μB/cell
E   -5.895 eV/atom
Relative energy among the computed polymorphs   0 meV per atom